Computed, not measured: an optimized crystal structure of LaCe2SiGe2 at the PBE level of DFT.

The space group is I4/mmm (No. 139) and the conventional cell measures 5.852, 5.852 and 10.515 Å, with angles of 90.00, 90.00 and 90.00 degrees. The inequivalent atoms are La at (0.000, 0.000, 0.000), Ce at (0.000, 0.500, 0.250), Si at (0.000, 0.000, 0.500) and Ge at (0.000, 0.000, 0.270).

As for the density of states at the Fermi level: 25.58 states/eV per cell. Its volume is 30.00 Å³/atom. The energy relative to the elements, uncorrected is -101 meV/atom. The size of the total moment comes out at 0.30 μB/atom. Its total DFT energy (no corrections) is -5.34 eV/atom.